A plane-wave DFT calculation with PBE with a Hubbard U was carried out for a relaxed Co2PtF2 crystal.

Output
- Density: 8915 kg/m³
- Magnetization: 1.057 μB per atom
- Excess energy over the best structure of this formula in the dataset: 0.242 eV/atom

Cell: 4.0742 4.0742 7.8763 Å, 90.00 90.00 90.00°
Space group I4/mmm (No. 139)
One atom of each set of equivalent atoms:
Co (0.0000, 0.5000, 0.2500) x4
Pt (0.0000, 0.0000, 0.0000) x2
F (0.0000, 0.0000, 0.3417) x4